Computed, not measured: crystalline NiSnPt at its relaxed geometry at the PBE level of DFT.

Calculated values
DFT total energy (eV/atom): -4.852
Formation energy from the elements (eV per atom): 0.422

```
3
Lattice="-1.464 1.464 6.799 1.464 -1.464 6.799 1.464 1.464 -6.799" Properties=species:S:1:pos:R:3 pbc="T T T"
Ni 0.000 0.000 0.000
Sn 0.000 0.000 11.126
Pt 0.000 0.000 2.449
```